(1)
Ta2AsPb: relaxed, GGA-PBE.

abc: 4.7340 4.7340 3.3850
angles: 90.00 90.00 90.02
With the nearest neighbours (Å) after each atom.
Positions (direct):
As (0.5000, 0.0000, 0.5000)  8 Ta 2.91
Pb (0.0000, 0.5000, 0.5000)  8 Ta 2.91
Ta (0.0000, 0.0000, 0.0000)  4 As 2.91, 4 Pb 2.91
Ta (0.5000, 0.5000, 0.0000)  4 Pb 2.91, 4 As 2.91

Results
Its formation energy from the elements is 0.3798 eV/atom. Its space group is No. 123.

=====

(2)
Na3OsRh: relaxed, GGA-PBE.

abc: 5.2278 5.2278 5.2278
angles: 90.00 90.00 90.00
With the nearest neighbours (Å) after each atom.
Positions (direct):
Os (0.5000, 0.5000, 0.5000)  12 Na 3.70
Rh (0.0000, 0.0000, 0.0000)  6 Na 2.61
Na (0.5000, 0.0000, 0.0000)  2 Rh 2.61
Na (0.0000, 0.0000, 0.5000)  2 Rh 2.61
Na (0.0000, 0.5000, 0.0000)  2 Rh 2.61

Results
Its formation energy from the elements is 1.7041 eV/atom. Its space group is No. 221.

=====

(3)
RbBa2NaO: relaxed, GGA-PBE.

abc: 5.4781 5.4781 6.8576
angles: 90.00 90.00 90.00
With the nearest neighbours (Å) after each atom.
Positions (direct):
O (0.0000, 0.0000, 0.0000)  4 Ba 2.74
Ba (0.5000, 0.0000, 0.0000)  2 O 2.74
Ba (0.0000, 0.5000, 0.0000)  2 O 2.74
Na (0.5000, 0.5000, 0.5000)  4 Rb 3.87
Rb (0.0000, 0.0000, 0.5000)  2 O 3.43

Results
The value obtained for the uncorrected formation energy is -834 meV per atom. Its space group is No. 123.

=====

(4)
BeGa: relaxed, GGA-PBE.

abc: 2.6012 3.6417 6.1585
angles: 73.54 90.01 89.99
With the nearest neighbours (Å) after each atom.
Positions (direct):
Be (0.0000, 0.0000, 0.0000)  4 Be 2.24, 4 Ga 2.40
Be (0.5000, 0.5000, 0.0000)  4 Be 2.24
Ga (0.5004, 0.8279, 0.3413)  2 Be 2.40, 4 Ga 2.60-2.62
Ga (0.4996, 0.1721, 0.6587)  2 Be 2.40, 4 Ga 2.60-2.62

Results
Its formation energy from the elements is 0.2489 eV/atom. Its space group is No. 10.

=====

(5)
SrTbTlPb: relaxed, GGA-PBE.

abc: 5.6071 5.6071 5.6071
angles: 60.00 60.00 60.00
With the nearest neighbours (Å) after each atom.
Positions (direct):
Pb (0.7500, 0.7500, 0.7500)  4 Tb 3.43, 4 Sr 3.43
Sr (0.5000, 0.5000, 0.5000)  4 Tl 3.43, 4 Pb 3.43
Tl (0.2500, 0.2500, 0.2500)  4 Tb 3.43, 4 Sr 3.43
Tb (0.0000, 0.0000, 0.0000)  4 Tl 3.43, 4 Pb 3.43

Results
Its formation energy from the elements is -0.3752 eV/atom. Its space group is No. 216.

=====

(6)
Ba2Ag2HgPd5: relaxed, GGA-PBE.

abc: 4.0449 10.3937 10.3937
angles: 90.00 90.00 90.00
With the nearest neighbours (Å) after each atom.
Positions (direct):
Ag (0.0000, 0.1234, 0.6234)  6 Pd 2.72-2.84, 1 Ba 2.94
Ag (0.0000, 0.3766, 0.1234)  6 Pd 2.72-2.84, 1 Ba 2.94
Ag (0.0000, 0.8766, 0.3766)  6 Pd 2.72-2.84, 1 Ba 2.94
Ag (0.0000, 0.6234, 0.8766)  6 Pd 2.72-2.84, 1 Ba 2.94
Hg (0.0000, 0.0000, 0.0000)  8 Pd 2.94
Hg (0.0000, 0.5000, 0.5000)  8 Pd 2.94
Pd (0.5000, 0.8021, 0.9459)  2 Ag 2.84, 2 Hg 2.94, 2 Pd 3.02
Pd (0.5000, 0.9459, 0.1979)  2 Ag 2.84, 2 Hg 2.94, 2 Pd 3.02
Pd (0.5000, 0.5000, 0.0000)  4 Ag 2.72
Pd (0.5000, 0.0000, 0.5000)  4 Ag 2.72
Pd (0.5000, 0.1979, 0.0541)  2 Ag 2.84, 2 Hg 2.94, 2 Pd 3.02
Pd (0.5000, 0.5541, 0.6979)  2 Ag 2.84, 2 Hg 2.94, 2 Pd 3.02
Pd (0.5000, 0.6979, 0.4459)  2 Ag 2.84, 2 Hg 2.94, 2 Pd 3.02
Pd (0.5000, 0.3021, 0.5541)  2 Ag 2.84, 2 Hg 2.94, 2 Pd 3.02
Pd (0.5000, 0.4459, 0.3021)  2 Ag 2.84, 2 Hg 2.94, 2 Pd 3.02
Pd (0.5000, 0.0541, 0.8021)  2 Ag 2.84, 2 Hg 2.94, 2 Pd 3.02
Ba (0.0000, 0.3233, 0.8233)  3 Ag 2.94-3.17
Ba (0.0000, 0.1767, 0.3233)  3 Ag 2.94-3.17
Ba (0.0000, 0.8233, 0.6767)  3 Ag 2.94-3.17
Ba (0.0000, 0.6767, 0.1767)  3 Ag 2.94-3.17

Results
Its formation energy from the elements is -0.2837 eV/atom. Its space group is No. 127.

=====

(7)
ErPaB2: relaxed, GGA-PBE.

abc: 3.7257 3.7257 6.3613
angles: 72.97 72.97 60.00
With the nearest neighbours (Å) after each atom.
Positions (direct):
Pa (0.0000, 0.0000, 0.0000)  6 B 2.55
B (0.2571, 0.2571, 0.2286)  3 Pa 2.55, 3 Er 2.70
B (0.7429, 0.7429, 0.7714)  3 Pa 2.55, 3 Er 2.70
Er (0.5000, 0.5000, 0.5000)  6 B 2.70

Results
Its formation energy from the elements is 0.1120 eV/atom. Its space group is No. 166.

=====

(8)
Dy5Ga4Hg: relaxed, GGA-PBE.

abc: 3.5793 3.5793 18.2325
angles: 90.00 90.00 90.00
With the nearest neighbours (Å) after each atom.
Positions (direct):
Ga (0.0000, 0.0000, 0.2059)  8 Dy 3.08-3.11
Ga (0.0000, 0.0000, 0.7941)  8 Dy 3.08-3.11
Ga (0.0000, 0.0000, 0.4030)  8 Dy 3.09-3.10
Ga (0.0000, 0.0000, 0.5970)  8 Dy 3.09-3.10
Dy (0.5000, 0.5000, 0.1099)  4 Ga 3.08, 4 Hg 3.23
Dy (0.5000, 0.5000, 0.5000)  8 Ga 3.09
Dy (0.5000, 0.5000, 0.8901)  4 Ga 3.08, 4 Hg 3.23
Dy (0.5000, 0.5000, 0.6948)  8 Ga 3.10-3.11
Dy (0.5000, 0.5000, 0.3051)  8 Ga 3.10-3.11
Hg (0.0000, 0.0000, 0.0000)  8 Dy 3.23, 4 Hg 3.58

Results
Its formation energy from the elements is -0.5624 eV/atom. Its space group is No. 123.

=====

(9)
FeBC3: relaxed, GGA-PBE.

abc: 3.3799 3.3799 3.3799
angles: 90.00 90.00 90.00
With the nearest neighbours (Å) after each atom.
Positions (direct):
C (0.0000, 0.0000, 0.5000)  2 B 1.69
C (0.5000, 0.0000, 0.0000)  2 B 1.69
C (0.0000, 0.5000, 0.0000)  2 B 1.69
B (0.0000, 0.0000, 0.0000)  6 C 1.69
Fe (0.5000, 0.5000, 0.5000)  12 C 2.39

Results
Its formation energy from the elements is 2.3753 eV/atom. Its space group is No. 221.

=====

(10)
BeAsI3: relaxed, GGA-PBE.

abc: 5.7216 5.7216 5.7216
angles: 90.00 90.00 90.00
With the nearest neighbours (Å) after each atom.
Positions (direct):
I (0.0000, 0.0000, 0.5000)  2 As 2.86
I (0.5000, 0.0000, 0.0000)  2 As 2.86
I (0.0000, 0.5000, 0.0000)  2 As 2.86
As (0.0000, 0.0000, 0.0000)  6 I 2.86
Be (0.5000, 0.5000, 0.5000)  12 I 4.05

Results
The value obtained for the uncorrected formation energy is 648 meV per atom. Its space group is No. 221.

=====

(11)
MgSc2Ag: relaxed, GGA-PBE.

abc: 4.9250 4.9250 4.9250
angles: 60.00 60.00 60.00
With the nearest neighbours (Å) after each atom.
Positions (direct):
Mg (0.7500, 0.7500, 0.7500)  4 Ag 3.02, 4 Sc 3.02
Sc (0.2500, 0.2500, 0.2500)  4 Sc 3.02, 4 Ag 3.02
Sc (0.0000, 0.0000, 0.0000)  4 Mg 3.02, 4 Sc 3.02
Ag (0.5000, 0.5000, 0.5000)  4 Mg 3.02, 4 Sc 3.02

Results
Its formation energy from the elements is -0.0019 eV/atom. Its space group is No. 216.

=====

(12)
Ga6NiOs: relaxed, GGA-PBE.

abc: 4.7001 4.7001 6.5480
angles: 97.28 97.28 105.26
With the nearest neighbours (Å) after each atom.
Positions (direct):
Ga (0.3354, 0.3354, 0.8413)  1 Ni 2.36, 3 Ga 2.49-2.58, 1 Os 2.60
Ga (0.6646, 0.6646, 0.1587)  1 Ni 2.36, 3 Ga 2.49-2.58, 1 Os 2.60
Ga (0.0676, 0.6952, 0.6891)  1 Ni 2.44, 1 Ga 2.58, 1 Os 2.66
Ga (0.9324, 0.3048, 0.3109)  1 Ni 2.44, 1 Ga 2.58, 1 Os 2.66
Ga (0.6952, 0.0676, 0.6891)  1 Ni 2.44, 1 Ga 2.58, 1 Os 2.66
Ga (0.3048, 0.9324, 0.3109)  1 Ni 2.44, 1 Ga 2.58, 1 Os 2.66
Ni (0.0000, 0.0000, 0.0000)  6 Ga 2.36-2.44
Os (0.5000, 0.5000, 0.5000)  10 Ga 2.60-2.80

Results
Its formation energy from the elements is 0.0255 eV/atom. Its space group is No. 12.

=====

| no. | total DFT energy (no corrections) (eV per cell) | N(E_F) (states/eV/cell) |
| --- | --- | --- |
| 1 | -30.5 | 2.42 |
| 2 | -14.0 | 4.22 |
| 3 | -15.3 | 4.57 |
| 4 | -12.5 | 1.25 |
| 5 | -13.9 | 1.99 |
| 6 | -77.3 | 3.98 |
| 7 | -27.0 | 7.20 |
| 8 | -41.0 | 5.00 |
| 9 | -30.9 | 8.27 |
| 10 | -9.8 | 2.83 |
| 11 | -17.1 | 3.64 |
| 12 | -35.0 | 3.61 |